[1]
DFT (PBE) results for crystalline Gd2DyNi at its relaxed geometry.

Cell: 3.497 3.497 8.550 Å, 90.00 90.00 90.00°
Site moments in Bohr magnetons follow the coordinates.
Positions (direct):
1 Ni 0.500 0.500 0.000  0.03
2 Gd 0.000 0.000 0.810  7.07
3 Gd 0.000 0.000 0.190  7.07
4 Dy 0.500 0.500 0.500  0.12

Results
As for the energy relative to the lowest polymorph listed for this composition: 0 meV per atom. For the calculated volume, the calculation gives 26.132 Å³ per atom. Its total magnetization is 14.67 μB per formula unit. The calculated formation energy is -0.131 eV/atom.

***

[2]
DFT (PBE) results for crystalline Pm4Sm8Dy3 at its relaxed geometry.

Cell: 6.849 9.368 9.368 Å, 86.74 111.53 111.53°
Positions (direct):
1 Pm 0.500 0.000 0.000
2 Pm 0.000 0.500 0.000
3 Pm 0.000 0.000 0.000
4 Pm 0.000 0.000 0.500
5 Sm 0.505 0.261 0.261
6 Sm 0.000 0.644 0.356
7 Sm 0.992 0.273 0.273
8 Sm 0.500 0.746 0.254
9 Sm 0.500 0.254 0.746
10 Sm 0.008 0.727 0.727
11 Sm 0.000 0.356 0.644
12 Sm 0.495 0.739 0.739
13 Dy 0.500 0.500 0.000
14 Dy 0.500 0.000 0.500
15 Dy 0.500 0.500 0.500

Results
As for the energy relative to the lowest polymorph listed for this composition: 229 meV per atom. For the calculated volume, the calculation gives 34.534 Å³ per atom. Its total magnetization is 0.00 μB per formula unit. The calculated formation energy is 0.354 eV/atom.